{
  "formula": "Li2GaCoF8",
  "functional": "PBE with a Hubbard U",
  "state": "relaxed",
  "cell": [[3.1975, -3.3975, 0.0000], [3.1975, 3.3975, 0.0000], [0.0000, 0.0000, 6.1096]],
  "species": ["Li", "Li", "Ga", "Co", "F", "F", "F", "F", "F", "F", "F", "F"],
  "fractional_positions": [[0.0000, 0.0000, 0.2432], [0.0000, 0.0000, 0.7568], [0.5000, 0.5000, 0.0000], [0.5000, 0.5000, 0.5000], [0.2089, 0.2089, 0.0000], [0.2129, 0.2129, 0.5000], [0.3122, 0.6878, 0.2466], [0.3122, 0.6878, 0.7534], [0.6878, 0.3122, 0.2466], [0.6878, 0.3122, 0.7534], [0.7871, 0.7871, 0.5000], [0.7911, 0.7911, 0.0000]],
  "total_energy_ev_per_atom": -4.7756
}

{
  "formula": "GaCoN2F",
  "functional": "PBE with a Hubbard U",
  "state": "relaxed",
  "cell": [[3.6855, 0.0000, 0.0000], [0.0000, 3.6855, 0.0000], [0.0000, 0.0000, 4.2155]],
  "species": ["Ga", "Co", "N", "N", "F"],
  "fractional_positions": [[0.0000, 0.0000, 0.0000], [0.5000, 0.5000, 0.5000], [0.0000, 0.5000, 0.5000], [0.5000, 0.0000, 0.5000], [0.5000, 0.5000, 0.0000]],
  "relative_energy_ev_per_fu": 0.00
}

{
  "formula": "GaCoN2F",
  "functional": "PBE with a Hubbard U",
  "state": "relaxed",
  "cell": [[3.8705, 0.0000, 0.0000], [0.0000, 3.8705, 0.0000], [0.0000, 0.0000, 3.9459]],
  "species": ["Ga", "Co", "N", "N", "F"],
  "fractional_positions": [[0.0000, 0.0000, 0.0000], [0.5000, 0.5000, 0.5000], [0.0000, 0.5000, 0.0000], [0.5000, 0.0000, 0.0000], [0.0000, 0.0000, 0.5000]],
  "relative_energy_ev_per_fu": 0.63
}

{
  "formula": "Na2GaCoF",
  "functional": "PBE with a Hubbard U",
  "state": "relaxed",
  "cell": [[5.8647, 0.0000, 0.0000], [0.0000, 5.8647, 0.0000], [0.0000, 0.0000, 3.7237]],
  "species": ["Na", "Na", "Ga", "Co", "F"],
  "fractional_positions": [[0.0000, 0.5000, 0.0000], [0.5000, 0.0000, 0.0000], [0.0000, 0.0000, 0.5000], [0.5000, 0.5000, 0.0000], [0.5000, 0.5000, 0.5000]],
  "total_energy_ev_per_atom": -2.6980
}

{
  "formula": "NaGaCoF6",
  "functional": "PBE with a Hubbard U",
  "state": "relaxed",
  "cell": [[5.2942, 0.0000, 0.0000], [-2.6471, 4.5849, 0.0000], [0.0000, 0.0000, 9.8120]],
  "species": ["Na", "Na", "Ga", "Ga", "Co", "Co", "F", "F", "F", "F", "F", "F", "F", "F", "F", "F", "F", "F"],
  "fractional_positions": [[0.0000, 0.0000, 0.0000], [0.0000, 0.0000, 0.5000], [0.3333, 0.6667, 0.2500], [0.6667, 0.3333, 0.7500], [0.3333, 0.6667, 0.7500], [0.6667, 0.3333, 0.2500], [0.0193, 0.3706, 0.1424], [0.0193, 0.6487, 0.3576], [0.3513, 0.3706, 0.3576], [0.3513, 0.9807, 0.1424], [0.3706, 0.0193, 0.6424], [0.3706, 0.3513, 0.8576], [0.6294, 0.6487, 0.1424], [0.6294, 0.9807, 0.3576], [0.6487, 0.0193, 0.8576], [0.6487, 0.6294, 0.6424], [0.9807, 0.3513, 0.6424], [0.9807, 0.6294, 0.8576]],
  "total_energy_ev_per_atom": -4.8305
}

{
  "formula": "Na2GaCoF8",
  "functional": "PBE with a Hubbard U",
  "state": "relaxed",
  "cell": [[4.9880, 0.0000, 0.0000], [0.2677, 5.0146, 0.0000], [0.1484, 0.1408, 6.2629]],
  "species": ["Na", "Na", "Ga", "Co", "F", "F", "F", "F", "F", "F", "F", "F"],
  "fractional_positions": [[0.0014, 0.0017, 0.2483], [0.9986, 0.9983, 0.7517], [0.5000, 0.5000, 0.0000], [0.5000, 0.5000, 0.5000], [0.2349, 0.7714, 0.0000], [0.2425, 0.7649, 0.4997], [0.3189, 0.3259, 0.2399], [0.3278, 0.3354, 0.7427], [0.6722, 0.6646, 0.2573], [0.6811, 0.6741, 0.7601], [0.7575, 0.2351, 0.5003], [0.7651, 0.2286, 0.0000]],
  "total_energy_ev_per_atom": -4.5788
}

Repeat the fifth record exactly.
{
  "formula": "NaGaCoF6",
  "functional": "PBE with a Hubbard U",
  "state": "relaxed",
  "cell": [[5.2942, 0.0000, 0.0000], [-2.6471, 4.5849, 0.0000], [0.0000, 0.0000, 9.8120]],
  "species": ["Na", "Na", "Ga", "Ga", "Co", "Co", "F", "F", "F", "F", "F", "F", "F", "F", "F", "F", "F", "F"],
  "fractional_positions": [[0.0000, 0.0000, 0.0000], [0.0000, 0.0000, 0.5000], [0.3333, 0.6667, 0.2500], [0.6667, 0.3333, 0.7500], [0.3333, 0.6667, 0.7500], [0.6667, 0.3333, 0.2500], [0.0193, 0.3706, 0.1424], [0.0193, 0.6487, 0.3576], [0.3513, 0.3706, 0.3576], [0.3513, 0.9807, 0.1424], [0.3706, 0.0193, 0.6424], [0.3706, 0.3513, 0.8576], [0.6294, 0.6487, 0.1424], [0.6294, 0.9807, 0.3576], [0.6487, 0.0193, 0.8576], [0.6487, 0.6294, 0.6424], [0.9807, 0.3513, 0.6424], [0.9807, 0.6294, 0.8576]],
  "total_energy_ev_per_atom": -4.8305
}

Q: Number 3 is which compound?
A: GaCoN2F